# 1
A geometry-optimized Tl2FeMo structure. Source: Alexandria via LeMat-Bulk, functional PBE.

```
4
Lattice="2.981 0.047 0.000 -1.001 2.808 0.000 0.000 0.000 9.053" Properties=species:S:1:pos:R:3 pbc="T T T"
Fe 0.990 1.427 2.263
Mo 0.990 1.427 6.790
Tl 0.000 0.000 0.093
Tl 0.000 0.000 4.433
```

Computed properties:
Energy relative to the elements ... 0.804 eV per atom
DOS(E_F) ... 2.751 states/eV per cell
Symmetry ... Cmmm, No. 65
Distance to the lowest polymorph of the same formula ... 318.1 meV/atom

# 2
A geometry-optimized Zr3BiH structure. Source: Alexandria via LeMat-Bulk, functional PBE.

```
10
Lattice="5.758 -0.014 -0.001 2.666 5.047 -0.001 1.534 -2.537 6.780" Properties=species:S:1:pos:R:3 pbc="T T T"
H 4.849 -1.175 3.791
H 1.666 -1.918 5.770
Bi 7.384 0.400 3.481
Bi 5.806 2.911 1.219
Zr 3.289 1.350 5.784
Zr 1.678 0.439 0.421
Zr 5.785 2.898 4.289
Zr 4.505 0.375 2.370
Zr 5.661 -0.640 5.746
Zr 2.958 2.915 2.319
```

Computed properties:
DOS(E_F) ... 2.270 states/eV per cell
Symmetry ... P1, No. 1
Distance to the lowest polymorph of the same formula ... 4.3 meV/atom

# 3
A geometry-optimized KBi3Se structure. Source: Alexandria via LeMat-Bulk, functional PBE.

```
5
Lattice="5.990 0.000 0.000 0.000 5.990 0.000 0.000 0.000 5.990" Properties=species:S:1:pos:R:3 pbc="T T T"
K 0.000 0.000 0.000
Bi 0.000 2.995 0.000
Bi 0.000 0.000 2.995
Bi 2.995 0.000 0.000
Se 2.995 2.995 2.995
```

Computed properties:
DOS(E_F) ... 8.664 states/eV per cell
Symmetry ... Pm-3m, No. 221
Distance to the lowest polymorph of the same formula ... 1135.3 meV/atom
Formation energy without anion corrections ... 1.297 eV per atom

# 4
A geometry-optimized Rb9Ag3O2 structure. Source: Alexandria via LeMat-Bulk, functional PBE.

```
14
Lattice="8.207 0.000 0.000 -4.103 7.107 0.000 0.000 0.000 10.120" Properties=species:S:1:pos:R:3 pbc="T T T"
Rb -1.907 5.839 6.941
Rb 0.000 2.536 6.941
Rb 2.052 3.554 0.000
Rb 4.103 4.571 3.179
Rb 2.196 1.268 3.179
Rb 1.907 5.839 6.941
Rb 6.011 1.268 3.179
Rb -2.052 3.554 0.000
Rb 4.103 0.000 0.000
Ag 4.103 2.369 6.625
Ag 0.000 0.000 0.000
Ag 0.000 4.738 3.495
O 4.103 2.369 1.669
O 0.000 4.738 8.451
```

Computed properties:
DOS(E_F) ... 6.141 states/eV per cell
Symmetry ... P-3m1, No. 164
Formation energy without anion corrections ... -0.383 eV per atom

| no. | total magnetic moment (μB per cell) | calculated volume (Å³/cell) |
| --- | --- | --- |
| 1 | 2.663 | 76 |
| 2 | 0.000 | 197 |
| 3 | 2.467 | 215 |
| 4 | 0.000 | 590 |